Computed, not measured: crystalline TbNd2Y6Ho3 at its relaxed geometry at the PBE level of DFT.

Structure (POSCAR):
```
TbNd2Y6Ho3
1.0
3.100 -5.365 0.000
3.100 5.365 0.000
-2.056 0.000 11.658
Tb Nd Y Ho
1 2 6 3
Direct
0.000 0.000 0.000
0.333 0.667 0.000
0.667 0.333 0.000
0.085 0.417 0.253
0.248 0.248 0.747
0.417 0.085 0.253
0.583 0.915 0.747
0.752 0.752 0.253
0.915 0.583 0.747
0.167 0.833 0.500
0.500 0.500 0.500
0.833 0.167 0.500
```

Computed properties:
- M_tot (μB per formula unit) = 0.00
- energy relative to the elements (eV/atom) = 0.019